This record from the Alexandria database describes crystalline RbVTc2B at its relaxed geometry. The functional is GGA-PBE.

Calculated values
As for the energy of formation from the pure elements: 1623 meV/atom. The calculation puts the density of states at the Fermi level at 2.258 states/eV/atom.

```
data_RbVTc2B
_chemical_formula_sum 'Rb1 V1 Tc2 B1'
_cell_length_a 4.141
_cell_length_b 4.141
_cell_length_c 5.174
_cell_angle_alpha 90.00
_cell_angle_beta 90.00
_cell_angle_gamma 90.00
_symmetry_space_group_name_H-M 'P 4/m m m'
_symmetry_Int_Tables_number 123
_symmetry_space_group_name_Hall '-P 4 2'
loop_
_atom_site_label
_atom_site_type_symbol
_atom_site_fract_x
_atom_site_fract_y
_atom_site_fract_z
Rb1 Rb 0.000 0.000 0.000
V1 V 0.500 0.500 0.000
Tc1 Tc 0.000 0.500 0.500
B1 B 0.000 0.000 0.500
```